(1)
Computed, not measured: Nd4Sm4Dy3 after structural relaxation at the PBE-GGA level of DFT.

Cell lengths 12.0624, 12.0624, 12.0624 Å; angles 162.59, 133.40, 50.12 degrees
With the nearest neighbours (Å) after each atom.
Element x y z (fractional)
Nd1 0.0323 0.8563 0.1759  3 Nd 3.36-3.65, 4 Sm 3.41-3.73, 2 Dy 3.68
Nd2 0.3196 0.1437 0.1759  3 Nd 3.36-3.65, 4 Sm 3.41-3.73, 2 Dy 3.68
Nd3 0.6804 0.8563 0.8241  3 Nd 3.36-3.65, 4 Sm 3.41-3.73, 2 Dy 3.68
Nd4 0.9677 0.1437 0.8241  3 Nd 3.36-3.65, 4 Sm 3.41-3.73, 2 Dy 3.68
Sm1 0.2612 0.7612 0.5000  2 Dy 3.41, 6 Nd 3.57-3.73, 2 Sm 3.65
Sm2 0.3153 0.0000 0.3153  2 Nd 3.41, 6 Dy 3.45-3.52, 3 Sm 3.52-3.65
Sm3 0.6847 0.0000 0.6847  2 Nd 3.41, 6 Dy 3.45-3.52, 3 Sm 3.52-3.65
Sm4 0.7388 0.2388 0.5000  2 Dy 3.41, 6 Nd 3.57-3.73, 2 Sm 3.65
Dy1 0.0000 0.5000 0.5000  4 Sm 3.52, 2 Dy 3.65
Dy2 0.3933 0.3933 0.0000  6 Sm 3.41-3.45, 2 Dy 3.65, 4 Nd 3.68
Dy3 0.6067 0.6067 0.0000  6 Sm 3.41-3.45, 2 Dy 3.65, 4 Nd 3.68

The calculation puts the density at 7.3 g cm⁻³. For the energy above the most stable polymorph in this dataset, the calculation gives 0.000 eV per formula unit. For the calculated total energy, the calculation gives -4.581 eV/atom.


(2)
Computed, not measured: KLiHgSb2 after structural relaxation at the PBE-GGA level of DFT.

Cell lengths 6.9054, 6.9054, 6.9054 Å; angles 137.37, 137.37, 61.86 degrees
With the nearest neighbours (Å) after each atom.
Element x y z (fractional)
K1 0.0000 0.0000 0.0000  8 Sb 3.83, 4 Li 3.88, 4 Hg 3.88
Li1 0.7500 0.2500 0.5000  4 Sb 2.94
Hg1 0.2500 0.7500 0.5000  4 Sb 2.94
Sb1 0.3791 0.3791 0.0000  1 Sb 2.86, 2 Hg 2.94, 2 Li 2.94
Sb2 0.6209 0.6209 0.0000  1 Sb 2.86, 2 Hg 2.94, 2 Li 2.94

The calculation puts the density at 5.5 g cm⁻³. For the calculated total energy, the calculation gives -2.665 eV/atom.


(3)
Computed, not measured: Pm3PrCo8 after structural relaxation at the PBE-GGA level of DFT.

Cell lengths 8.9386, 8.9386, 8.9386 Å; angles 33.58, 33.58, 33.58 degrees
With the nearest neighbours (Å) after each atom.
Element x y z (fractional)
Pm1 0.0000 0.0000 0.0000  12 Co 3.03-3.04, 1 Pm 3.16, 3 Pr 3.16
Pm2 0.1249 0.1249 0.1249  12 Co 3.01-3.03, 4 Pm 3.16
Pm3 0.4999 0.4999 0.4999  12 Co 3.01-3.03, 3 Pm 3.16, 1 Pr 3.17
Pr1 0.6251 0.6251 0.6251  12 Co 3.03-3.04, 4 Pm 3.16-3.17
Co1 0.0623 0.0623 0.5609  6 Co 2.57-2.60
Co2 0.0623 0.5609 0.0623  6 Co 2.57-2.60
Co3 0.0645 0.5624 0.5624  6 Co 2.57-2.59
Co4 0.3128 0.3128 0.3128  6 Co 2.58-2.60
Co5 0.5609 0.0623 0.0623  6 Co 2.57-2.60
Co6 0.5624 0.0645 0.5624  6 Co 2.57-2.59
Co7 0.5624 0.5624 0.0645  6 Co 2.57-2.59
Co8 0.8124 0.8124 0.8124  6 Co 2.57

The calculation puts the density at 8.9 g cm⁻³. For the calculated total energy, the calculation gives -6.369 eV/atom.


(4)
Computed, not measured: DyMg6Sc2 after structural relaxation at the PBE-GGA level of DFT.

Cell lengths 8.8913, 8.8913, 3.1775 Å; angles 90.00, 90.00, 120.00 degrees
With the nearest neighbours (Å) after each atom.
Element x y z (fractional)
Dy1 0.0000 0.0000 0.0000  2 Dy 3.18, 12 Mg 3.40
Mg1 0.0000 0.3378 0.5000  5 Mg 2.88-3.18
Mg2 0.0000 0.6622 0.5000  5 Mg 2.88-3.18
Mg3 0.3378 0.0000 0.5000  5 Mg 2.88-3.18
Mg4 0.3378 0.3378 0.5000  5 Mg 2.88-3.18
Mg5 0.6622 0.0000 0.5000  5 Mg 2.88-3.18
Mg6 0.6622 0.6622 0.5000  5 Mg 2.88-3.18
Sc1 0.3333 0.6667 0.0000  2 Sc 3.18, 12 Mg 3.35
Sc2 0.6667 0.3333 0.0000  2 Sc 3.18, 12 Mg 3.35

The calculation puts the density at 3.0 g cm⁻³. For the energy above the most stable polymorph in this dataset, the calculation gives 0.000 eV per formula unit. For the calculated total energy, the calculation gives -3.012 eV/atom.


(5)
Computed, not measured: Er8Te4CS3 after structural relaxation at the PBE-GGA level of DFT.

Cell lengths 8.2952, 8.2952, 8.2952 Å; angles 57.41, 57.41, 57.41 degrees
With the nearest neighbours (Å) after each atom.
Element x y z (fractional)
Er1 0.2349 0.2349 0.2349  3 S 2.70
Er2 0.2587 0.7185 0.7185  1 C 2.51, 2 S 2.75
Er3 0.2815 0.2815 0.7413  1 C 2.51, 2 S 2.75
Er4 0.2815 0.7413 0.2815  1 C 2.51, 2 S 2.75
Er5 0.7185 0.2587 0.7185  1 C 2.51, 2 S 2.75
Er6 0.7185 0.7185 0.2587  1 C 2.51, 2 S 2.75
Er7 0.7413 0.2815 0.2815  1 C 2.51, 2 S 2.75
Er8 0.7651 0.7651 0.7651  3 S 2.70
Te1 0.0000 0.0000 0.0000  6 Er 3.25
Te2 0.0000 0.5000 0.5000  6 Er 3.05-3.07
Te3 0.5000 0.0000 0.5000  6 Er 3.05-3.07
Te4 0.5000 0.5000 0.0000  6 Er 3.05-3.07
C1 0.5000 0.5000 0.5000  6 Er 2.51
S1 0.0000 0.0000 0.5000  6 Er 2.70-2.75
S2 0.0000 0.5000 0.0000  6 Er 2.70-2.75
S3 0.5000 0.0000 0.0000  6 Er 2.70-2.75

The calculation puts the density at 8.6 g cm⁻³. For the calculated total energy, the calculation gives -5.876 eV/atom.


(6)
Computed, not measured: Bi2SeS2 after structural relaxation at the PBE-GGA level of DFT.

Cell lengths 8.6036, 8.6036, 7.7744 Å; angles 90.00, 90.00, 153.26 degrees
With the nearest neighbours (Å) after each atom.
Element x y z (fractional)
Bi1 0.0530 0.9470 0.5000  6 S 2.91-3.04, 2 Se 3.07-3.13
Bi2 0.3150 0.6850 0.4090  2 S 2.76-3.03, 2 Se 2.82
Bi3 0.6850 0.3150 0.9090  2 S 2.76-3.03, 2 Se 2.82
Bi4 0.9470 0.0530 0.0000  6 S 2.91-3.04, 2 Se 3.07-3.13
Se1 0.1209 0.8791 0.1249  4 Bi 2.82-3.13
Se2 0.8791 0.1209 0.6249  4 Bi 2.82-3.13
S1 0.3204 0.6796 0.0193  5 Bi 2.91-3.14
S2 0.4705 0.5295 0.2921  5 Bi 2.76-3.04
S3 0.5295 0.4705 0.7921  5 Bi 2.76-3.04
S4 0.6796 0.3204 0.5193  5 Bi 2.91-3.14

The calculation puts the density at 7.2 g cm⁻³. For the calculated total energy, the calculation gives -4.134 eV/atom.


(7)
Computed, not measured: NaPuTl after structural relaxation at the PBE-GGA level of DFT.

Cell lengths 5.4962, 5.4962, 9.0914 Å; angles 104.15, 104.15, 36.68 degrees
With the nearest neighbours (Å) after each atom.
Element x y z (fractional)
Na1 0.1563 0.1563 0.1091  4 Tl 3.19-3.36, 5 Na 3.35-3.57
Na2 0.8437 0.8437 0.8909  4 Tl 3.19-3.36, 5 Na 3.35-3.57
Pu1 0.3252 0.3252 0.5271  2 Pu 2.30
Pu2 0.6748 0.6748 0.4729  2 Pu 2.30
Tl1 0.0794 0.0794 0.7262  4 Na 3.19-3.36, 5 Pu 3.23-3.50, 2 Tl 3.46
Tl2 0.9206 0.9206 0.2738  4 Na 3.19-3.36, 5 Pu 3.23-3.50, 2 Tl 3.46

The calculation puts the density at 9.9 g cm⁻³. For the energy above the most stable polymorph in this dataset, the calculation gives 0.030 eV per formula unit. For the calculated total energy, the calculation gives -5.839 eV/atom.


(8)
Computed, not measured: Li3SiF7 after structural relaxation at the PBE-GGA level of DFT.

Cell lengths 5.3498, 5.3498, 5.0326 Å; angles 102.51, 102.51, 75.44 degrees
With the nearest neighbours (Å) after each atom.
Element x y z (fractional)
Li1 0.0000 0.0000 0.0000  2 F 1.84-1.98
Li2 0.4062 0.8712 0.6890  2 F 1.79-2.00
Li3 0.8712 0.4062 0.6890  2 F 1.79-2.00
Si1 0.6419 0.6419 0.2137  6 F 1.70-1.77
F1 0.1047 0.1047 0.7243  3 Li 1.79-1.84
F2 0.3378 0.7084 0.0120  1 Si 1.72
F3 0.5235 0.5235 0.4414  1 Si 1.72
F4 0.5749 0.9458 0.4052  1 Si 1.70
F5 0.7084 0.3378 0.0120  1 Si 1.72
F6 0.7630 0.7630 0.9762  1 Si 1.77, 1 Li 1.98
F7 0.9458 0.5749 0.4052  1 Si 1.70

The calculation puts the density at 2.3 g cm⁻³. For the calculated total energy, the calculation gives -5.228 eV/atom.


(9)
Computed, not measured: Te2Cl after structural relaxation at the PBE-GGA level of DFT.

Cell lengths 10.4262, 5.0508, 8.7713 Å; angles 90.00, 90.00, 90.00 degrees
With the nearest neighbours (Å) after each atom.
Element x y z (fractional)
Te1 0.0075 0.2500 0.1896  3 Te 2.91-2.95
Te2 0.1264 0.7500 0.1064  1 Cl 2.65, 3 Te 2.91-2.95
Te3 0.3736 0.2500 0.6064  1 Cl 2.65, 3 Te 2.91-2.95
Te4 0.4925 0.7500 0.6896  3 Te 2.91-2.95
Te5 0.5075 0.2500 0.3104  3 Te 2.91-2.95
Te6 0.6264 0.7500 0.3936  1 Cl 2.65, 3 Te 2.91-2.95
Te7 0.8736 0.2500 0.8936  1 Cl 2.65, 3 Te 2.91-2.95
Te8 0.9925 0.7500 0.8104  3 Te 2.91-2.95
Cl1 0.2008 0.7500 0.3959  1 Te 2.65
Cl2 0.2992 0.2500 0.8959  1 Te 2.65
Cl3 0.7008 0.7500 0.1041  1 Te 2.65
Cl4 0.7992 0.2500 0.6041  1 Te 2.65

The calculation puts the density at 4.2 g cm⁻³. For the energy above the most stable polymorph in this dataset, the calculation gives 0.201 eV per formula unit. For the calculated total energy, the calculation gives -2.888 eV/atom.


(10)
Computed, not measured: BaAgI2N after structural relaxation at the PBE-GGA level of DFT.

Cell lengths 6.7838, 6.7838, 5.3766 Å; angles 90.00, 90.00, 90.00 degrees
With the nearest neighbours (Å) after each atom.
Element x y z (fractional)
Ba1 0.0000 0.0000 0.0000  2 N 2.69
Ag1 0.5000 0.5000 0.5000  8 I 4.33, 4 N 4.80
I1 0.0000 0.5000 0.0000  2 Ba 3.39
I2 0.5000 0.0000 0.0000  2 Ba 3.39
N1 0.0000 0.0000 0.5000  2 Ba 2.69

The calculation puts the density at 3.4 g cm⁻³. For the energy above the most stable polymorph in this dataset, the calculation gives 1.965 eV per formula unit. For the calculated total energy, the calculation gives -2.911 eV/atom.


(11)
Computed, not measured: BiSbBr3 after structural relaxation at the PBE-GGA level of DFT.

Cell lengths 5.8054, 5.8054, 5.8054 Å; angles 90.00, 90.00, 90.00 degrees
With the nearest neighbours (Å) after each atom.
Element x y z (fractional)
Bi1 0.0000 0.0000 0.0000  6 Br 2.90
Sb1 0.5000 0.5000 0.5000  12 Br 4.11
Br1 0.0000 0.0000 0.5000  2 Bi 2.90
Br2 0.0000 0.5000 0.0000  2 Bi 2.90
Br3 0.5000 0.0000 0.0000  2 Bi 2.90

The calculation puts the density at 4.8 g cm⁻³. For the energy above the most stable polymorph in this dataset, the calculation gives 0.000 eV per formula unit. For the calculated total energy, the calculation gives -2.569 eV/atom.


(12)
Computed, not measured: Tb2PuCrN4 after structural relaxation at the PBE-GGA level of DFT.

Cell lengths 6.0024, 6.0024, 11.7506 Å; angles 90.00, 90.00, 147.34 degrees
With the nearest neighbours (Å) after each atom.
Element x y z (fractional)
Tb1 0.1307 0.8693 0.5432  6 N 2.32-2.54
Tb2 0.1307 0.8693 0.9568  6 N 2.32-2.54
Tb3 0.8693 0.1307 0.0432  6 N 2.32-2.54
Tb4 0.8693 0.1307 0.4568  6 N 2.32-2.54
Pu1 0.3961 0.6039 0.7500  6 N 2.63-2.66
Pu2 0.6039 0.3961 0.2500  6 N 2.63-2.66
Cr1 0.3358 0.6642 0.2500  4 N 1.84-1.98
Cr2 0.6642 0.3358 0.7500  4 N 1.84-1.98
N1 0.0749 0.9251 0.7500  2 Cr 1.98
N2 0.2314 0.7686 0.1317  1 Cr 1.84
N3 0.2314 0.7686 0.3683  1 Cr 1.84
N4 0.5000 0.5000 0.0000  4 Tb 2.32
N5 0.5000 0.5000 0.5000  4 Tb 2.32
N6 0.7686 0.2314 0.6317  1 Cr 1.84
N7 0.7686 0.2314 0.8683  1 Cr 1.84
N8 0.9251 0.0749 0.2500  2 Cr 1.98

The calculation puts the density at 9.7 g cm⁻³. For the calculated total energy, the calculation gives -9.448 eV/atom.